Record 1
Compound: PuMg2Pb
Source: Alexandria via LeMat-Bulk
Functional: PBE-GGA
Structure: optimized geometry

total DFT energy (no corrections)	-5.252	eV/atom
Fermi-level density of states	1.9351	states/eV per atom
SG	P4/mmm (123)
E_form	55	meV per atom
magnetization	6.1	μB/cell

abc: 3.211 3.211 10.170
angles: 90.00 90.00 90.00
Atoms (fractional coordinates):
1 Mg 0.000 0.000 0.750
2 Pu 0.500 0.500 0.500
3 Mg 0.000 0.000 0.250
4 Pb 0.500 0.500 0.000

Record 2
Compound: Hf2TaRuRh
Source: Alexandria via LeMat-Bulk
Functional: PBE-GGA
Structure: optimized geometry

total DFT energy (no corrections)	-9.003	eV/atom
Fermi-level density of states	1.3786	states/eV per atom
SG	P4/mmm (123)
E_form	675	meV per atom
magnetization	0.0	μB/cell

abc: 4.899 4.703 4.899
angles: 90.00 90.00 90.00
Atoms (fractional coordinates):
1 Hf 0.000 0.000 0.500
2 Hf 0.500 0.000 0.000
3 Ta 0.000 0.500 0.000
4 Rh 0.500 0.500 0.500
5 Ru 0.000 0.000 0.000

Record 3
Compound: TbCe2NdSb5
Source: Alexandria via LeMat-Bulk
Functional: PBE-GGA
Structure: optimized geometry

total DFT energy (no corrections)	-4.945	eV/atom
Fermi-level density of states	1.8931	states/eV per atom
SG	P4/mmm (123)
energy relative to the elements, uncorrected	-0.292	eV per atom
magnetization	1.7	μB/cell

abc: 5.316 5.316 11.751
angles: 90.00 90.00 90.00
Atoms (fractional coordinates):
1 Ce 0.500 0.500 0.286
2 Sb 0.500 0.500 0.000
3 Sb 0.000 0.500 0.500
4 Sb 0.000 0.000 0.251
5 Tb 0.000 0.000 0.500
6 Nd 0.000 0.000 0.000
7 Ce 0.500 0.500 0.714
8 Sb 0.000 0.000 0.749
9 Sb 0.500 0.000 0.500

Record 4
Compound: AcPr7Y2
Source: Alexandria via LeMat-Bulk
Functional: PBE-GGA
Structure: optimized geometry

total DFT energy (no corrections)	-4.880	eV/atom
Fermi-level density of states	1.4086	states/eV per atom
SG	Immm (71)
E_form	170	meV per atom
magnetization	0.0	μB/cell

abc: 5.670 7.870 9.716
angles: 113.88 106.96 90.00
Atoms (fractional coordinates):
1 Y 0.215 0.215 0.430
2 Pr 0.631 0.332 0.262
3 Pr 0.157 0.657 0.313
4 Pr 0.843 0.343 0.687
5 Pr 0.631 0.931 0.262
6 Pr 0.500 0.500 0.000
7 Pr 0.369 0.069 0.738
8 Ac 0.000 0.000 0.000
9 Y 0.785 0.785 0.570
10 Pr 0.369 0.668 0.738